1.
YMgN2F after structural relaxation, computed with GGA-PBE.

## Properties
**Excess energy over the best structure of this formula in the dataset**: 0.000 eV per formula unit
**Total magnetic moment**: 0.00 Bohr magnetons per cell
**Calculated density**: 4.4 g/cm³
**Formation energy (no corrections)**: -0.9759 eV/atom
**Space group**: P4/mmm
**Crystal system**: tetragonal

Structure (POSCAR):
```
YMgN2F
1.0
3.980 0.000 0.000
0.000 3.980 0.000
0.000 0.000 3.836
N Mg F Y
2 1 1 1
Direct
0.000 0.500 0.000
0.500 0.000 0.000
0.000 0.000 0.000
0.000 0.000 0.500
0.500 0.500 0.500
```

=====

2.
YMgN2F after structural relaxation, computed with GGA-PBE.

## Properties
**Excess energy over the best structure of this formula in the dataset**: 2.446 eV per formula unit
**Total magnetic moment**: 0.83 Bohr magnetons per cell
**Calculated density**: 3.2 g/cm³
**Formation energy (no corrections)**: -0.4866 eV/atom
**Space group**: P4/mmm
**Crystal system**: tetragonal

Structure (POSCAR):
```
YMgN2F
1.0
4.411 0.000 0.000
0.000 4.411 0.000
0.000 0.000 4.276
Y N Mg F
1 2 1 1
Direct
0.000 0.000 0.000
0.500 0.000 0.000
0.000 0.500 0.000
0.500 0.500 0.500
0.000 0.000 0.500
```

=====

3.
Na2MgF4 after structural relaxation, computed with GGA-PBE.

## Properties
**Excess energy over the best structure of this formula in the dataset**: 0.267 eV per formula unit
**Total magnetic moment**: 0.00 Bohr magnetons per cell
**Calculated density**: 2.7 g/cm³
**Formation energy (no corrections)**: -3.0528 eV/atom
**Space group**: I4/mmm
**Crystal system**: tetragonal

Structure (POSCAR):
```
Na2MgF4
1.0
3.916 0.000 0.000
0.000 3.916 0.000
1.958 1.958 5.957
F Mg Na
4 1 2
Direct
0.167 0.167 0.666
0.000 0.500 0.000
0.833 0.833 0.334
0.500 0.000 0.000
0.000 0.000 0.000
0.352 0.352 0.296
0.648 0.648 0.704
```

=====

4.
Na2MgF2 after structural relaxation, computed with GGA-PBE.

## Properties
**Excess energy over the best structure of this formula in the dataset**: 0.634 eV per formula unit
**Total magnetic moment**: 0.00 Bohr magnetons per cell
**Calculated density**: 1.6 g/cm³
**Formation energy (no corrections)**: -1.7885 eV/atom
**Space group**: I4/mmm
**Crystal system**: tetragonal

Structure (POSCAR):
```
Na2MgF2
1.0
-1.395 3.762 -1.628
-2.470 0.601 3.506
2.687 5.087 3.695
Na F Mg
2 2 1
Direct
0.706 0.706 0.588
0.294 0.294 0.412
0.750 0.250 0.500
0.250 0.750 0.500
0.000 0.000 0.000
```

=====

5.
NaMg2F5 after structural relaxation, computed with GGA-PBE.

## Properties
**Total magnetic moment**: 0.00 Bohr magnetons per cell
**Calculated density**: 2.8 g/cm³
**Formation energy (no corrections)**: -3.3290 eV/atom
**Space group**: Cmcm
**Crystal system**: orthorhombic

Structure (POSCAR):
```
NaMg2F5
1.0
-3.179 1.888 -1.173
-1.354 -4.141 3.417
0.793 6.186 7.810
F Na Mg
10 2 4
Direct
0.198 0.397 0.750
0.802 0.603 0.250
0.044 0.088 0.383
0.956 0.912 0.617
0.675 0.350 0.532
0.325 0.650 0.468
0.956 0.912 0.883
0.675 0.350 0.968
0.325 0.650 0.032
0.044 0.088 0.117
0.584 0.167 0.250
0.416 0.833 0.750
0.860 0.721 0.440
0.860 0.721 0.060
0.140 0.279 0.560
0.140 0.279 0.940
```

=====

6.
Na5Mg3F12 after structural relaxation, computed with GGA-PBE.

## Properties
**Total magnetic moment**: 4.83 Bohr magnetons per cell
**Calculated density**: 2.2 g/cm³
**Formation energy (no corrections)**: -2.8022 eV/atom
**Space group**: Ia-3d
**Crystal system**: cubic

Structure (POSCAR):
```
Na5Mg3F12
1.0
-10.457 0.655 -5.500
6.433 -8.707 -4.781
-1.722 -2.222 11.495
F Mg Na
48 12 20
Direct
0.130 0.635 0.946
0.946 0.811 0.316
0.495 0.130 0.184
0.811 0.946 0.816
0.811 0.865 0.495
0.446 0.630 0.635
0.684 0.689 0.054
0.005 0.316 0.370
0.189 0.054 0.184
0.635 0.130 0.446
0.865 0.811 0.995
0.870 0.365 0.054
0.365 0.495 0.311
0.635 0.505 0.689
0.316 0.005 0.870
0.495 0.365 0.811
0.054 0.865 0.870
0.184 0.630 0.495
0.316 0.311 0.946
0.816 0.370 0.505
0.689 0.684 0.554
0.135 0.189 0.005
0.311 0.995 0.365
0.630 0.446 0.135
0.370 0.554 0.865
0.816 0.446 0.811
0.870 0.505 0.316
0.184 0.554 0.189
0.005 0.689 0.135
0.554 0.370 0.365
0.689 0.005 0.635
0.684 0.995 0.130
0.554 0.184 0.689
0.505 0.870 0.816
0.130 0.495 0.684
0.946 0.135 0.130
0.365 0.870 0.554
0.446 0.816 0.311
0.135 0.946 0.630
0.370 0.816 0.005
0.630 0.184 0.995
0.189 0.135 0.505
0.054 0.189 0.684
0.995 0.684 0.630
0.995 0.311 0.865
0.311 0.316 0.446
0.505 0.635 0.189
0.865 0.054 0.370
0.125 0.250 0.875
0.625 0.250 0.375
0.125 0.875 0.750
0.875 0.750 0.125
0.375 0.625 0.250
0.875 0.125 0.250
0.250 0.125 0.375
0.625 0.375 0.750
0.750 0.375 0.125
0.375 0.750 0.625
0.750 0.875 0.625
0.250 0.625 0.875
0.500 0.500 0.000
0.000 0.500 0.500
0.000 0.000 0.000
0.500 0.500 0.500
0.875 0.250 0.625
0.000 0.000 0.500
0.000 0.500 0.000
0.750 0.625 0.375
0.250 0.875 0.125
0.500 0.000 0.000
0.500 0.000 0.500
0.625 0.750 0.875
0.875 0.625 0.750
0.125 0.750 0.375
0.375 0.250 0.125
0.375 0.125 0.750
0.250 0.375 0.625
0.625 0.875 0.250
0.750 0.125 0.875
0.125 0.375 0.250
```

=====

7.
Na2MgF3 after structural relaxation, computed with GGA-PBE.

## Properties
**Total magnetic moment**: 0.00 Bohr magnetons per cell
**Calculated density**: 2.2 g/cm³
**Formation energy (no corrections)**: -2.5244 eV/atom
**Space group**: C2/c
**Crystal system**: monoclinic

Structure (POSCAR):
```
Na2MgF3
1.0
-0.589 4.415 -4.826
-5.616 -2.088 -1.225
0.305 1.659 5.949
F Na Mg
6 4 2
Direct
0.177 0.603 0.263
0.823 0.397 0.737
0.914 0.897 0.737
0.642 0.750 0.000
0.358 0.250 0.000
0.086 0.103 0.263
0.442 0.330 0.697
0.745 0.170 0.303
0.558 0.670 0.303
0.255 0.830 0.697
0.057 0.250 0.000
0.943 0.750 0.000
```

=====

8.
Na2MgF4 after structural relaxation, computed with GGA-PBE.

## Properties
**Excess energy over the best structure of this formula in the dataset**: 0.894 eV per formula unit
**Total magnetic moment**: 0.15 Bohr magnetons per cell
**Calculated density**: 2.3 g/cm³
**Formation energy (no corrections)**: -2.9632 eV/atom
**Space group**: P2_1/m
**Crystal system**: monoclinic

Structure (POSCAR):
```
Na2MgF4
1.0
-5.467 1.502 -1.651
-1.951 -5.429 1.519
0.508 1.518 6.077
F Mg Na
8 2 4
Direct
0.568 0.023 0.761
0.568 0.477 0.761
0.030 0.250 0.658
0.004 0.250 0.108
0.432 0.523 0.239
0.996 0.750 0.892
0.970 0.750 0.342
0.432 0.977 0.239
0.193 0.750 0.184
0.807 0.250 0.816
0.729 0.750 0.553
0.346 0.250 0.968
0.654 0.750 0.032
0.271 0.250 0.447
```

=====

9.
Na3Mg5F12 after structural relaxation, computed with GGA-PBE.

## Properties
**Total magnetic moment**: 0.00 Bohr magnetons per cell
**Calculated density**: 2.5 g/cm³
**Formation energy (no corrections)**: -3.1307 eV/atom
**Space group**: Ia-3d
**Crystal system**: cubic

Structure (POSCAR):
```
Na3Mg5F12
1.0
-9.539 3.446 -4.861
6.801 -4.409 -7.797
-2.351 -7.791 7.763
Na F Mg
12 48 20
Direct
0.250 0.125 0.375
0.750 0.875 0.625
0.250 0.625 0.875
0.625 0.250 0.375
0.125 0.875 0.750
0.750 0.375 0.125
0.625 0.375 0.750
0.375 0.625 0.250
0.875 0.125 0.250
0.875 0.750 0.125
0.125 0.250 0.875
0.375 0.750 0.625
0.676 0.484 0.602
0.882 0.308 0.484
0.618 0.602 0.926
0.118 0.692 0.516
0.308 0.426 0.824
0.308 0.882 0.984
0.516 0.324 0.898
0.898 0.074 0.882
0.602 0.618 0.426
0.176 0.074 0.692
0.926 0.102 0.618
0.324 0.808 0.426
0.984 0.602 0.176
0.484 0.808 0.882
0.426 0.118 0.602
0.618 0.016 0.192
0.808 0.324 0.926
0.692 0.118 0.016
0.176 0.102 0.984
0.016 0.398 0.824
0.426 0.308 0.324
0.692 0.574 0.176
0.398 0.016 0.324
0.574 0.692 0.676
0.824 0.926 0.308
0.016 0.618 0.692
0.324 0.516 0.398
0.382 0.984 0.808
0.882 0.574 0.898
0.602 0.984 0.676
0.102 0.926 0.118
0.824 0.898 0.016
0.382 0.398 0.074
0.808 0.484 0.382
0.484 0.676 0.102
0.074 0.176 0.192
0.926 0.824 0.808
0.574 0.882 0.398
0.676 0.192 0.574
0.118 0.426 0.102
0.192 0.516 0.618
0.398 0.382 0.574
0.516 0.192 0.118
0.984 0.382 0.308
0.898 0.824 0.516
0.074 0.898 0.382
0.192 0.676 0.074
0.102 0.176 0.484
0.500 0.500 0.000
0.875 0.625 0.750
0.750 0.625 0.375
0.250 0.875 0.125
0.500 0.000 0.000
0.375 0.125 0.750
0.250 0.375 0.625
0.000 0.000 0.500
0.125 0.375 0.250
0.375 0.250 0.125
0.750 0.125 0.875
0.875 0.250 0.625
0.125 0.750 0.375
0.500 0.500 0.500
0.000 0.500 0.500
0.000 0.500 0.000
0.500 0.000 0.500
0.625 0.875 0.250
0.625 0.750 0.875
0.000 0.000 0.000
```

=====

10.
Na6MgF8 after structural relaxation, computed with GGA-PBE.

## Properties
**Total magnetic moment**: 0.01 Bohr magnetons per cell
**Calculated density**: 2.6 g/cm³
**Formation energy (no corrections)**: -2.8998 eV/atom
**Space group**: Fm-3m
**Crystal system**: cubic

Structure (POSCAR):
```
Na6MgF8
1.0
-0.705 -6.059 -2.504
4.350 -2.275 -4.403
4.215 -4.779 1.696
F Na Mg
8 6 1
Direct
0.217 0.783 0.217
0.750 0.750 0.750
0.217 0.783 0.783
0.217 0.217 0.783
0.783 0.217 0.217
0.783 0.783 0.217
0.250 0.250 0.250
0.783 0.217 0.783
0.500 0.500 0.000
0.500 0.000 0.500
0.000 0.500 0.500
0.000 0.000 0.500
0.000 0.500 0.000
0.500 0.000 0.000
0.000 0.000 0.000
```

=====

11.
NaMg2F6 after structural relaxation, computed with GGA-PBE.

## Properties
**Total magnetic moment**: 1.04 Bohr magnetons per cell
**Calculated density**: 3.2 g/cm³
**Formation energy (no corrections)**: -2.7348 eV/atom
**Space group**: P-62m
**Crystal system**: hexagonal

Structure (POSCAR):
```
NaMg2F6
1.0
-2.341 -2.224 -1.379
3.662 -4.236 0.615
-3.609 1.228 4.147
F Mg Na
6 2 1
Direct
0.500 0.411 0.000
0.000 0.294 0.294
0.000 0.706 0.000
0.500 0.000 0.411
0.000 0.000 0.706
0.500 0.589 0.589
0.000 0.333 0.667
0.000 0.667 0.333
0.500 0.000 0.000
```

=====

12.
Na3Mg2F7 after structural relaxation, computed with GGA-PBE.

## Properties
**Total magnetic moment**: 0.00 Bohr magnetons per cell
**Calculated density**: 2.7 g/cm³
**Formation energy (no corrections)**: -3.1180 eV/atom
**Space group**: I4/mmm
**Crystal system**: tetragonal

Structure (POSCAR):
```
Na3Mg2F7
1.0
3.868 0.000 -0.727
-0.137 3.865 -0.727
-0.077 -0.080 10.243
F Mg Na
7 2 3
Direct
0.901 0.401 0.802
0.401 0.901 0.802
0.799 0.799 0.598
0.201 0.201 0.402
0.000 0.000 0.000
0.599 0.099 0.198
0.099 0.599 0.198
0.101 0.101 0.202
0.899 0.899 0.798
0.687 0.687 0.375
0.313 0.313 0.625
0.500 0.500 0.000
```

=====

13.
NaMg2F after structural relaxation, computed with GGA-PBE.

## Properties
**Excess energy over the best structure of this formula in the dataset**: 0.000 eV per formula unit
**Total magnetic moment**: 0.00 Bohr magnetons per cell
**Calculated density**: 1.5 g/cm³
**Formation energy (no corrections)**: -0.8842 eV/atom
**Space group**: I-42d
**Crystal system**: tetragonal

Structure (POSCAR):
```
NaMg2F
1.0
6.842 0.000 0.000
0.000 6.842 0.000
3.421 3.421 4.156
Mg F Na
4 2 2
Direct
0.875 0.733 0.750
0.267 0.625 0.250
0.375 0.517 0.750
0.483 0.125 0.250
0.250 0.750 0.500
0.500 0.500 0.000
0.000 0.000 0.000
0.750 0.250 0.500
```

=====

14.
Na3MgF6 after structural relaxation, computed with GGA-PBE.

## Properties
**Total magnetic moment**: 2.14 Bohr magnetons per cell
**Calculated density**: 2.4 g/cm³
**Formation energy (no corrections)**: -2.6814 eV/atom
**Space group**: R-3
**Crystal system**: trigonal

Structure (POSCAR):
```
Na3MgF6
1.0
-0.353 -5.127 -4.111
4.220 3.157 -3.942
4.904 -2.777 3.399
F Na Mg
12 6 2
Direct
0.789 0.454 0.583
0.711 0.068 0.932
0.583 0.789 0.454
0.068 0.932 0.711
0.454 0.583 0.789
0.211 0.546 0.417
0.417 0.211 0.546
0.289 0.932 0.068
0.068 0.289 0.932
0.932 0.711 0.068
0.932 0.068 0.289
0.546 0.417 0.211
0.066 0.255 0.564
0.436 0.934 0.745
0.934 0.745 0.436
0.745 0.436 0.934
0.255 0.564 0.066
0.564 0.066 0.255
0.000 0.000 0.000
0.500 0.500 0.500
```

=====

15.
NaMgF after structural relaxation, computed with GGA-PBE.

## Properties
**Total magnetic moment**: 0.00 Bohr magnetons per cell
**Calculated density**: 1.9 g/cm³
**Formation energy (no corrections)**: -1.5319 eV/atom
**Space group**: Amm2
**Crystal system**: orthorhombic

Structure (POSCAR):
```
NaMgF
1.0
-0.025 0.399 -3.051
0.950 -3.335 1.108
-10.967 -3.235 -0.334
F Mg Na
2 2 2
Direct
0.062 0.124 0.877
0.062 0.124 0.123
0.545 0.091 0.000
0.473 0.947 0.500
0.762 0.524 0.741
0.762 0.524 0.259
```

=====

16.
Na2MgF2 after structural relaxation, computed with GGA-PBE.

## Properties
**Excess energy over the best structure of this formula in the dataset**: 0.000 eV per formula unit
**Total magnetic moment**: 0.00 Bohr magnetons per cell
**Calculated density**: 1.7 g/cm³
**Formation energy (no corrections)**: -1.9154 eV/atom
**Space group**: I4/mmm
**Crystal system**: tetragonal

Structure (POSCAR):
```
Na2MgF2
1.0
4.433 0.000 0.000
0.000 4.433 0.000
2.216 2.216 5.374
F Na Mg
2 2 1
Direct
0.189 0.189 0.622
0.811 0.811 0.378
0.250 0.750 0.500
0.750 0.250 0.500
0.000 0.000 0.000
```